Entry 1:
Compound: RbLiInRe2
Source: Alexandria via LeMat-Bulk
Functional: PBE
Structure: optimized geometry Values from VASP.

Cell and atoms, written as Quantum ESPRESSO input:
```
&SYSTEM
  ibrav = 0, nat = 5, ntyp = 4
/
ATOMIC_SPECIES
Re 186.21 Re.upf
Rb 85.47 Rb.upf
Li 6.94 Li.upf
In 114.82 In.upf
CELL_PARAMETERS angstrom
4.5079 0.0000 0.0000
0.0000 5.0077 0.0000
0.0000 0.0000 4.5079
ATOMIC_POSITIONS crystal
Re 0.0000 0.0000 0.5000
Re 0.5000 0.0000 0.0000
Rb 0.0000 0.5000 0.0000
Li 0.0000 0.0000 0.0000
In 0.5000 0.5000 0.5000
```

Properties
Calculated total energy ... -4.102 eV per atom

Entry 2:
Compound: BeReBr
Source: Alexandria via LeMat-Bulk
Functional: PBE
Structure: optimized geometry Values from VASP.

Cell and atoms, written as Quantum ESPRESSO input:
```
&SYSTEM
  ibrav = 0, nat = 3, ntyp = 3
/
ATOMIC_SPECIES
Re 186.21 Re.upf
Br 79.90 Br.upf
Be 9.01 Be.upf
CELL_PARAMETERS angstrom
-2.3658 -3.4268 -0.1495
1.0037 -3.3266 2.2996
-2.3496 -1.0541 3.2757
ATOMIC_POSITIONS crystal
Re 0.7500 0.7500 0.7500
Br 0.5000 0.5000 0.5000
Be 0.0000 0.0000 0.0000
```

Properties
Energy relative to the lowest polymorph listed for this composition ... 225 kJ/mol of formula units
Calculated total energy ... -4.460 eV per atom
Formation energy without anion corrections ... 4.47 eV/f.u.

Entry 3:
Compound: Ac6AgTe5
Source: Alexandria via LeMat-Bulk
Functional: PBE
Structure: optimized geometry Values from VASP.

Cell and atoms, written as Quantum ESPRESSO input:
```
&SYSTEM
  ibrav = 0, nat = 12, ntyp = 3
/
ATOMIC_SPECIES
Ac 227.00 Ac.upf
Te 127.60 Te.upf
Ag 107.87 Ag.upf
CELL_PARAMETERS angstrom
8.0553 -0.1214 -1.5380
-4.3488 6.7816 -1.5380
0.1618 0.2907 8.1723
ATOMIC_POSITIONS crystal
Ac 0.2393 0.2393 0.7516
Ac 0.7607 0.7607 0.2484
Ac 0.0791 0.4020 0.2409
Ac 0.4020 0.0791 0.2409
Ac 0.9209 0.5980 0.7591
Ac 0.5980 0.9209 0.7591
Te 0.5000 0.5000 0.5000
Te 0.6645 0.3355 0.0000
Te 0.3355 0.6645 0.0000
Te 0.8252 0.1748 0.5000
Te 0.1748 0.8252 0.5000
Ag 0.0000 0.0000 0.0000
```

Properties
Calculated total energy ... -4.879 eV per atom
Formation energy without anion corrections ... -15.34 eV/f.u.

Entry 4:
Compound: MgCd2Hg6
Source: Alexandria via LeMat-Bulk
Functional: PBE
Structure: optimized geometry Values from VASP.

Cell and atoms, written as Quantum ESPRESSO input:
```
&SYSTEM
  ibrav = 0, nat = 18, ntyp = 3
/
ATOMIC_SPECIES
Cd 112.41 Cd.upf
Hg 200.59 Hg.upf
Mg 24.30 Mg.upf
CELL_PARAMETERS angstrom
4.9705 0.0000 -0.4757
0.0000 9.7930 0.0000
-0.9004 0.0000 9.1488
ATOMIC_POSITIONS crystal
Cd 0.0188 0.6756 0.1954
Cd 0.5188 0.8244 0.6954
Cd 0.4812 0.1756 0.3046
Cd 0.9812 0.3244 0.8046
Hg 0.5215 0.1382 0.6426
Hg 0.4576 0.4881 0.6626
Hg 0.4966 0.8093 0.0234
Hg 0.0424 0.9881 0.8374
Hg 0.9576 0.0119 0.1626
Hg 0.5424 0.5119 0.3374
Hg 0.9785 0.6382 0.8574
Hg 0.0215 0.3618 0.1426
Hg 0.5034 0.1907 0.9766
Hg 0.9966 0.6907 0.5234
Hg 0.0034 0.3093 0.4766
Hg 0.4785 0.8618 0.3574
Mg 0.0000 0.0000 0.5000
Mg 0.5000 0.5000 0.0000
```

Properties
Calculated total energy ... -0.606 eV per atom

Entry 5:
Compound: Rb2Rh2Cl7
Source: Alexandria via LeMat-Bulk
Functional: PBE
Structure: optimized geometry Values from VASP.

Cell and atoms, written as Quantum ESPRESSO input:
```
&SYSTEM
  ibrav = 0, nat = 11, ntyp = 3
/
ATOMIC_SPECIES
Rb 85.47 Rb.upf
Rh 102.91 Rh.upf
Cl 35.45 Cl.upf
CELL_PARAMETERS angstrom
-2.4290 2.6090 -6.0776
0.4699 -7.3020 -2.3751
-6.8426 -0.4576 3.4857
ATOMIC_POSITIONS crystal
Rb 0.0000 0.7170 0.2830
Rb 0.0000 0.2830 0.7170
Rh 0.4570 0.2230 0.2230
Rh 0.5430 0.7770 0.7770
Cl 0.7374 0.8919 0.5877
Cl 0.2626 0.4123 0.1081
Cl 0.2626 0.1081 0.4123
Cl 0.7806 0.3153 0.3153
Cl 0.7374 0.5877 0.8919
Cl 0.2194 0.6847 0.6847
Cl 0.5000 0.0000 0.0000
```

Properties
Calculated total energy ... -3.482 eV per atom
Formation energy without anion corrections ... -8.74 eV/f.u.

Entry 6:
Compound: Co2B2Pt
Source: Alexandria via LeMat-Bulk
Functional: PBE
Structure: optimized geometry Values from VASP.

Cell and atoms, written as Quantum ESPRESSO input:
```
&SYSTEM
  ibrav = 0, nat = 10, ntyp = 3
/
ATOMIC_SPECIES
Pt 195.08 Pt.upf
B 10.81 B.upf
Co 58.93 Co.upf
CELL_PARAMETERS angstrom
5.5673 0.0000 0.0000
0.0000 5.5673 0.0000
0.0000 0.0000 3.1080
ATOMIC_POSITIONS crystal
Pt 0.0000 0.0000 0.0000
Pt 0.5000 0.5000 0.0000
B 0.3864 0.8864 0.0000
B 0.1136 0.3864 0.0000
B 0.6136 0.1136 0.0000
B 0.8864 0.6136 0.0000
Co 0.1557 0.6557 0.5000
Co 0.8443 0.3443 0.5000
Co 0.6557 0.8443 0.5000
Co 0.3443 0.1557 0.5000
```

Properties
Energy relative to the lowest polymorph listed for this composition ... 0 kJ/mol of formula units
Calculated total energy ... -6.851 eV per atom